Record 1
This record from Alexandria via LeMat-Bulk describes PmDyHgAu after structural relaxation. The functional is PBE.

## Properties
Energy of formation (meV/atom): -649
Space-group type: P4mm
Crystal system: tetragonal

The structure in extended XYZ format:
```
4
Lattice="3.6975 0.0000 0.0000 0.0000 3.6975 0.0000 0.0000 0.0000 7.4431" Properties=species:S:1:pos:R:3 pbc="T T T"
Pm 0.0000 0.0000 0.0000
Dy 0.0000 0.0000 3.5571
Hg 1.8488 1.8488 5.4314
Au 1.8488 1.8488 1.9214
```


Record 2
This record from Alexandria via LeMat-Bulk describes PrDyHgAu after structural relaxation. The functional is PBE.

## Properties
Energy of formation (meV/atom): -614
Space-group type: F-43m
Crystal system: cubic

The structure in extended XYZ format:
```
16
Lattice="7.4684 0.0000 0.0000 0.0000 7.4684 0.0000 0.0000 0.0000 7.4684" Properties=species:S:1:pos:R:3 pbc="T T T"
Pr 0.0000 0.0000 0.0000
Pr 0.0000 3.7342 3.7342
Pr 3.7342 0.0000 3.7342
Pr 3.7342 3.7342 0.0000
Dy 0.0000 0.0000 3.7342
Dy 0.0000 3.7342 0.0000
Dy 3.7342 0.0000 0.0000
Dy 3.7342 3.7342 3.7342
Hg 1.8671 1.8671 1.8671
Hg 1.8671 5.6013 5.6013
Hg 5.6013 1.8671 5.6013
Hg 5.6013 5.6013 1.8671
Au 1.8671 1.8671 5.6013
Au 1.8671 5.6013 1.8671
Au 5.6013 1.8671 1.8671
Au 5.6013 5.6013 5.6013
```


Record 3
This record from Alexandria via LeMat-Bulk describes DyHgPtAu after structural relaxation. The functional is PBE.

## Properties
Energy of formation (meV/atom): -655
Space-group type: F-43m
Crystal system: cubic

The structure in extended XYZ format:
```
16
Lattice="6.9087 0.0000 0.0000 0.0000 6.9087 0.0000 0.0000 0.0000 6.9087" Properties=species:S:1:pos:R:3 pbc="T T T"
Dy 0.0000 0.0000 0.0000
Dy 0.0000 3.4543 3.4543
Dy 3.4543 0.0000 3.4543
Dy 3.4543 3.4543 0.0000
Hg 0.0000 0.0000 3.4543
Hg 0.0000 3.4543 0.0000
Hg 3.4543 0.0000 0.0000
Hg 3.4543 3.4543 3.4543
Pt 1.7272 1.7272 5.1815
Pt 1.7272 5.1815 1.7272
Pt 5.1815 1.7272 1.7272
Pt 5.1815 5.1815 5.1815
Au 1.7272 1.7272 1.7272
Au 1.7272 5.1815 5.1815
Au 5.1815 1.7272 5.1815
Au 5.1815 5.1815 1.7272
```


Record 4
This record from Alexandria via LeMat-Bulk describes Dy4HgPtAu2 after structural relaxation. The functional is PBE.

## Properties
Energy of formation (meV/atom): -868
Space-group type: R-3m
Crystal system: trigonal

The structure in extended XYZ format:
```
8
Lattice="2.5449 1.4693 8.3293 -2.5449 1.4693 8.3293 0.0000 -2.9386 8.3293" Properties=species:S:1:pos:R:3 pbc="T T T"
Dy 0.0000 0.0000 2.9636
Dy 0.0000 0.0000 9.2406
Dy 0.0000 0.0000 15.7473
Dy 0.0000 0.0000 22.0243
Hg 0.0000 0.0000 12.4939
Pt 0.0000 0.0000 0.0000
Au 0.0000 0.0000 6.0633
Au 0.0000 0.0000 18.9245
```


Record 5
This record from Alexandria via LeMat-Bulk describes DyPuHgAu after structural relaxation. The functional is PBE.

## Properties
Energy of formation (meV/atom): -463
Space-group type: P4mm
Crystal system: tetragonal

The structure in extended XYZ format:
```
4
Lattice="3.6006 0.0000 0.0000 0.0000 3.6006 0.0000 0.0000 0.0000 7.6796" Properties=species:S:1:pos:R:3 pbc="T T T"
Dy 0.0000 0.0000 0.0000
Pu 0.0000 0.0000 4.0725
Hg 1.8003 1.8003 1.9648
Au 1.8003 1.8003 6.0488
```


Record 6
This record from Alexandria via LeMat-Bulk describes DyPuHgAu after structural relaxation. The functional is PBE.

## Properties
Energy of formation (meV/atom): -417
Space-group type: F-43m
Crystal system: cubic

The structure in extended XYZ format:
```
16
Lattice="7.3718 0.0000 0.0000 0.0000 7.3718 0.0000 0.0000 0.0000 7.3718" Properties=species:S:1:pos:R:3 pbc="T T T"
Dy 0.0000 0.0000 0.0000
Dy 0.0000 3.6859 3.6859
Dy 3.6859 0.0000 3.6859
Dy 3.6859 3.6859 0.0000
Pu 0.0000 0.0000 3.6859
Pu 0.0000 3.6859 0.0000
Pu 3.6859 0.0000 0.0000
Pu 3.6859 3.6859 3.6859
Hg 1.8430 1.8430 1.8430
Hg 1.8430 5.5289 5.5289
Hg 5.5289 1.8430 5.5289
Hg 5.5289 5.5289 1.8430
Au 1.8430 1.8430 5.5289
Au 1.8430 5.5289 1.8430
Au 5.5289 1.8430 1.8430
Au 5.5289 5.5289 5.5289
```


Among the records above, which one has the lowest energy of formation? Dy4HgPtAu2


Repeat the fifth record exactly.
This record from Alexandria via LeMat-Bulk describes DyPuHgAu after structural relaxation. The functional is PBE.

## Properties
Energy of formation (meV/atom): -463
Space-group type: P4mm
Crystal system: tetragonal

The structure in extended XYZ format:
```
4
Lattice="3.6006 0.0000 0.0000 0.0000 3.6006 0.0000 0.0000 0.0000 7.6796" Properties=species:S:1:pos:R:3 pbc="T T T"
Dy 0.0000 0.0000 0.0000
Pu 0.0000 0.0000 4.0725
Hg 1.8003 1.8003 1.9648
Au 1.8003 1.8003 6.0488
```


The highest energy of formation belongs to which entry? number 6


Which of these has the lowest energy of formation? Dy4HgPtAu2